No. 1
! PBE MnHgTe, relaxed; values from VASP
! VASP energy ... -12.26 eV/cell
! Calculated density ... 8.06 g cm⁻³
! Magnetization ... 4.7 Bohr magnetons per cell
! Raw formation energy ... 0.1169 eV per atom
&SYSTEM
  ibrav = 0, nat = 3, ntyp = 3
/
ATOMIC_SPECIES
Mn 54.94 Mn.upf
Hg 200.59 Hg.upf
Te 127.60 Te.upf
ATOMIC_POSITIONS crystal
Mn 0.0000 0.0000 0.0000
Hg 0.7500 0.7500 0.7500
Te 0.2500 0.2500 0.2500
CELL_PARAMETERS angstrom
0.0000 3.4040 3.4040
3.4040 0.0000 3.4040
3.4040 3.4040 0.0000

***

No. 2
! PBE CoSi4Cl2, relaxed; values from VASP
! VASP energy ... -31.39 eV/cell
! Calculated density ... 2.54 g cm⁻³
! Magnetization ... 0.0 Bohr magnetons per cell
! Raw formation energy ... 0.1577 eV per atom
&SYSTEM
  ibrav = 0, nat = 7, ntyp = 3
/
ATOMIC_SPECIES
Co 58.93 Co.upf
Si 28.09 Si.upf
Cl 35.45 Cl.upf
ATOMIC_POSITIONS crystal
Co 0.0000 0.0000 0.0000
Si 0.0000 0.5000 0.5000
Si 0.1280 0.1280 0.0000
Si 0.5000 0.0000 0.5000
Si 0.8720 0.8720 0.0000
Cl 0.3488 0.3488 0.0000
Cl 0.6512 0.6512 0.0000
CELL_PARAMETERS angstrom
-2.0760 2.0760 9.1710
2.0760 -2.0760 9.1710
2.0760 2.0760 -9.1710

***

No. 3
! PBE BaIn2Tc, relaxed; values from VASP
! VASP energy ... -15.41 eV/cell
! Calculated density ... 7.05 g cm⁻³
! Calculated formation energy ... 0.589 eV/atom
! Magnetization ... 2.6 Bohr magnetons per cell
&SYSTEM
  ibrav = 0, nat = 4, ntyp = 3
/
ATOMIC_SPECIES
Ba 137.33 Ba.upf
In 114.82 In.upf
Tc 98.00 Tc.upf
ATOMIC_POSITIONS crystal
Ba 0.0000 0.0000 0.0000
In 0.2500 0.7500 0.5000
In 0.5000 0.5000 0.0000
Tc 0.7500 0.2500 0.5000
CELL_PARAMETERS angstrom
-2.4338 2.4338 4.6200
2.4338 -2.4338 4.6200
2.4338 2.4338 -4.6200

***

No. 4
! PBE GeTeBrN2, relaxed; values from VASP
! VASP energy ... -15.75 eV/cell
! Calculated density ... 4.86 g cm⁻³
! Magnetization ... 2.4 Bohr magnetons per cell
! Raw formation energy ... 2.0661 eV per atom
&SYSTEM
  ibrav = 0, nat = 5, ntyp = 4
/
ATOMIC_SPECIES
Ge 72.64 Ge.upf
Te 127.60 Te.upf
Br 79.90 Br.upf
N 14.01 N.upf
ATOMIC_POSITIONS crystal
Ge 0.0000 0.0000 0.0000
Te 0.5000 0.5000 0.0000
Br 0.5000 0.5000 0.5000
N 0.0000 0.5000 0.5000
N 0.5000 0.0000 0.5000
CELL_PARAMETERS angstrom
4.3106 0.0000 0.0000
0.0000 4.3106 0.0000
0.0000 0.0000 5.6712

***

No. 5
! PBE K2DyBe2O4, relaxed; values from VASP
! VASP energy ... -54.37 eV/cell
! Calculated density ... 2.89 g cm⁻³
! Magnetization ... 0.0 Bohr magnetons per cell
! Raw formation energy ... -2.2545 eV per atom
&SYSTEM
  ibrav = 0, nat = 9, ntyp = 4
/
ATOMIC_SPECIES
K 39.10 K.upf
Dy 162.50 Dy.upf
Be 9.01 Be.upf
O 16.00 O.upf
ATOMIC_POSITIONS crystal
K 0.1545 0.1545 0.1851
K 0.8455 0.8455 0.8149
Dy 0.0000 0.0000 0.5000
Be 0.3149 0.3149 0.5223
Be 0.6851 0.6851 0.4777
O 0.1963 0.1963 0.5697
O 0.4345 0.4345 0.6216
O 0.5655 0.5655 0.3784
O 0.8037 0.8037 0.4303
CELL_PARAMETERS angstrom
6.0647 -1.6733 0.0000
6.0647 1.6733 0.0000
-1.8280 0.0000 9.1267

***

No. 6
! PBE CrOs2Ru, relaxed; values from VASP
! VASP energy ... -40.81 eV/cell
! Calculated density ... 16.17 g cm⁻³
! Calculated formation energy ... 0.136 eV/atom
! Magnetization ... 0.0 Bohr magnetons per cell
&SYSTEM
  ibrav = 0, nat = 4, ntyp = 3
/
ATOMIC_SPECIES
Cr 52.00 Cr.upf
Os 190.23 Os.upf
Ru 101.07 Ru.upf
ATOMIC_POSITIONS crystal
Cr 0.0000 0.0000 0.0000
Os 0.0000 0.0000 0.5014
Os 0.5000 0.5000 0.2446
Ru 0.5000 0.5000 0.7615
CELL_PARAMETERS angstrom
2.6999 0.0000 0.0000
0.0000 2.6999 0.0000
0.0000 0.0000 7.5144

***

No. 7
! PBE CaYTh2N4, relaxed; values from VASP
! VASP energy ... -68.63 eV/cell
! Calculated density ... 8.16 g cm⁻³
! Magnetization ... 0.0 Bohr magnetons per cell
! Raw formation energy ... -1.5025 eV per atom
&SYSTEM
  ibrav = 0, nat = 8, ntyp = 4
/
ATOMIC_SPECIES
Ca 40.08 Ca.upf
Y 88.91 Y.upf
Th 232.04 Th.upf
N 14.01 N.upf
ATOMIC_POSITIONS crystal
Ca 0.0000 0.0000 0.0000
Y 0.0000 0.5000 0.5000
Th 0.5000 0.0000 0.5000
Th 0.5000 0.5000 0.0000
N 0.2544 0.0000 0.7464
N 0.2660 0.5000 0.2613
N 0.7340 0.5000 0.7387
N 0.7456 0.0000 0.2536
CELL_PARAMETERS angstrom
6.1658 0.0000 0.0000
0.0000 3.6258 0.0000
-2.1164 0.0000 5.9086

***

No. 8
! PBE Zr2PaAu, relaxed; values from VASP
! VASP energy ... -30.72 eV/cell
! Calculated density ... 11.71 g cm⁻³
! Calculated formation energy ... -0.212 eV/atom
! Magnetization ... 0.0 Bohr magnetons per cell
&SYSTEM
  ibrav = 0, nat = 4, ntyp = 3
/
ATOMIC_SPECIES
Zr 91.22 Zr.upf
Pa 231.04 Pa.upf
Au 196.97 Au.upf
ATOMIC_POSITIONS crystal
Zr 0.0000 0.0000 0.2423
Zr 0.0000 0.0000 0.7577
Pa 0.5000 0.5000 0.5000
Au 0.5000 0.5000 0.0000
CELL_PARAMETERS angstrom
3.5598 0.0000 0.0000
0.0000 3.5598 0.0000
0.0000 0.0000 6.8306

***

No. 9
! PBE Ti6FeRe5, relaxed; values from VASP
! VASP energy ... -122.69 eV/cell
! Calculated density ... 11.86 g cm⁻³
! Calculated formation energy ... -0.385 eV/atom
! Magnetization ... 0.0 Bohr magnetons per cell
&SYSTEM
  ibrav = 0, nat = 12, ntyp = 3
/
ATOMIC_SPECIES
Ti 47.87 Ti.upf
Fe 55.84 Fe.upf
Re 186.21 Re.upf
ATOMIC_POSITIONS crystal
Ti 0.0828 0.3351 0.7478
Ti 0.2455 0.0000 0.2455
Ti 0.4127 0.6649 0.7478
Ti 0.5873 0.3351 0.2522
Ti 0.7545 0.0000 0.7545
Ti 0.9172 0.6649 0.2522
Fe 0.0000 0.5000 0.5000
Re 0.1671 0.1671 0.0000
Re 0.3342 0.8342 0.5000
Re 0.5000 0.5000 0.0000
Re 0.6658 0.1658 0.5000
Re 0.8329 0.8329 0.0000
CELL_PARAMETERS angstrom
-2.1876 3.1017 6.5734
2.1876 -3.1017 6.5734
2.1876 3.1017 -6.5734

***

No. 10
! PBE CdSnS2N, relaxed; values from VASP
! VASP energy ... -17.40 eV/cell
! Calculated density ... 4.61 g cm⁻³
! Magnetization ... 2.1 Bohr magnetons per cell
! Raw formation energy ... 0.8201 eV per atom
&SYSTEM
  ibrav = 0, nat = 5, ntyp = 4
/
ATOMIC_SPECIES
Cd 112.41 Cd.upf
Sn 118.71 Sn.upf
S 32.06 S.upf
N 14.01 N.upf
ATOMIC_POSITIONS crystal
Cd 0.0000 0.0000 0.0000
Sn 0.5000 0.5000 0.5000
S 0.0000 0.5000 0.0000
S 0.5000 0.0000 0.0000
N 0.0000 0.0000 0.5000
CELL_PARAMETERS angstrom
5.1341 0.0000 0.0000
0.0000 5.1341 0.0000
0.0000 0.0000 4.2272

***

No. 11
! PBE GaSnPdS4, relaxed; values from VASP
! VASP energy ... -62.34 eV/cell
! Calculated density ... 4.71 g cm⁻³
! Magnetization ... 0.0 Bohr magnetons per cell
! Raw formation energy ... -0.3482 eV per atom
&SYSTEM
  ibrav = 0, nat = 14, ntyp = 4
/
ATOMIC_SPECIES
Ga 69.72 Ga.upf
Sn 118.71 Sn.upf
Pd 106.42 Pd.upf
S 32.06 S.upf
ATOMIC_POSITIONS crystal
Ga 0.4039 0.1539 0.2500
Ga 0.5961 0.8461 0.7500
Sn 0.0000 0.5000 0.5000
Sn 0.5000 0.5000 0.0000
Pd 0.0000 0.0000 0.5000
Pd 0.0000 0.5000 0.0000
S 0.2026 0.7340 0.4686
S 0.2346 0.2660 0.9686
S 0.2577 0.2418 0.4841
S 0.2577 0.7735 0.0159
S 0.7423 0.2265 0.9841
S 0.7423 0.7582 0.5159
S 0.7654 0.7340 0.0314
S 0.7974 0.2660 0.5314
CELL_PARAMETERS angstrom
-3.5784 3.6539 5.7100
3.5784 -3.6539 5.7100
3.5784 3.6539 -5.7100

***

No. 12
! PBE GeOsS, relaxed; values from VASP
! VASP energy ... -82.02 eV/cell
! Calculated density ... 9.96 g cm⁻³
! Magnetization ... 0.0 Bohr magnetons per cell
! Raw formation energy ... -0.1769 eV per atom
&SYSTEM
  ibrav = 0, nat = 12, ntyp = 3
/
ATOMIC_SPECIES
Ge 72.64 Ge.upf
Os 190.23 Os.upf
S 32.06 S.upf
ATOMIC_POSITIONS crystal
Ge 0.1622 0.1474 0.3234
Ge 0.1622 0.3525 0.8234
Ge 0.8378 0.6474 0.1766
Ge 0.8378 0.8526 0.6766
Os 0.2673 0.5098 0.5067
Os 0.2673 0.9902 0.0067
Os 0.7327 0.0098 0.9933
Os 0.7327 0.4902 0.4933
S 0.3364 0.6229 0.1700
S 0.3364 0.8771 0.6700
S 0.6636 0.1229 0.3300
S 0.6636 0.3771 0.8300
CELL_PARAMETERS angstrom
6.0248 0.0000 0.0000
0.0000 6.1200 0.0000
-2.9826 0.0000 5.3341

***

No. 13
! PBE UMnZnFe, relaxed; values from VASP
! VASP energy ... -29.71 eV/cell
! Calculated density ... 11.60 g cm⁻³
! Calculated formation energy ... 0.122 eV/atom
! Magnetization ... 0.7 Bohr magnetons per cell
&SYSTEM
  ibrav = 0, nat = 4, ntyp = 4
/
ATOMIC_SPECIES
U 238.03 U.upf
Mn 54.94 Mn.upf
Zn 65.41 Zn.upf
Fe 55.84 Fe.upf
ATOMIC_POSITIONS crystal
U 0.0000 0.0000 0.0000
Mn 0.2500 0.2500 0.2500
Zn 0.5000 0.5000 0.5000
Fe 0.7500 0.7500 0.7500
CELL_PARAMETERS angstrom
0.0000 3.0948 3.0948
3.0948 0.0000 3.0948
3.0948 3.0948 0.0000

***

No. 14
! PBE Th2PPt, relaxed; values from VASP
! VASP energy ... -31.09 eV/cell
! Calculated density ... 11.10 g cm⁻³
! Calculated formation energy ... -1.201 eV/atom
! Magnetization ... 0.0 Bohr magnetons per cell
&SYSTEM
  ibrav = 0, nat = 4, ntyp = 3
/
ATOMIC_SPECIES
Th 232.04 Th.upf
P 30.97 P.upf
Pt 195.08 Pt.upf
ATOMIC_POSITIONS crystal
Th 0.0000 0.0000 0.0000
Th 0.1733 0.1733 0.1733
P 0.5882 0.5882 0.5882
Pt 0.4194 0.4194 0.4194
CELL_PARAMETERS angstrom
2.0048 1.1574 7.4188
-2.0048 1.1574 7.4188
0.0000 -2.3149 7.4188

***

No. 15
! PBE SrAgTeI2, relaxed; values from VASP
! VASP energy ... -11.97 eV/cell
! Calculated density ... 3.71 g cm⁻³
! Magnetization ... 1.0 Bohr magnetons per cell
! Raw formation energy ... -0.2393 eV per atom
&SYSTEM
  ibrav = 0, nat = 5, ntyp = 4
/
ATOMIC_SPECIES
Sr 87.62 Sr.upf
Ag 107.87 Ag.upf
Te 127.60 Te.upf
I 126.90 I.upf
ATOMIC_POSITIONS crystal
Sr 0.0000 0.0000 0.0000
Ag 0.5000 0.5000 0.5000
Te 0.0000 0.0000 0.5000
I 0.0000 0.5000 0.0000
I 0.5000 0.0000 0.0000
CELL_PARAMETERS angstrom
6.3059 0.0000 0.0000
0.0000 6.3059 0.0000
0.0000 0.0000 6.4848

***

No. 16
! PBE TePbW2, relaxed; values from VASP
! VASP energy ... -30.35 eV/cell
! Calculated density ... 12.89 g cm⁻³
! Magnetization ... 0.0 Bohr magnetons per cell
! Raw formation energy ... 0.6011 eV per atom
&SYSTEM
  ibrav = 0, nat = 4, ntyp = 3
/
ATOMIC_SPECIES
Te 127.60 Te.upf
Pb 207.20 Pb.upf
W 183.84 W.upf
ATOMIC_POSITIONS crystal
Te 0.0000 0.0000 0.0000
Pb 0.5000 0.5000 0.3475
W 0.0000 0.0000 0.5919
W 0.5000 0.5000 0.7761
CELL_PARAMETERS angstrom
1.7202 -2.5270 0.0000
1.7202 2.5270 0.0000
0.0000 0.0000 10.4129

***

No. 17
! PBE Cr2SiBr, relaxed; values from VASP
! VASP energy ... -24.16 eV/cell
! Calculated density ... 4.40 g cm⁻³
! Magnetization ... 7.2 Bohr magnetons per cell
! Raw formation energy ... 0.5469 eV per atom
&SYSTEM
  ibrav = 0, nat = 4, ntyp = 3
/
ATOMIC_SPECIES
Cr 52.00 Cr.upf
Si 28.09 Si.upf
Br 79.90 Br.upf
ATOMIC_POSITIONS crystal
Cr 0.2214 0.2214 0.0000
Cr 0.7786 0.7786 0.0000
Si 0.0000 0.5000 0.5000
Br 0.5000 0.0000 0.5000
CELL_PARAMETERS angstrom
-1.8588 2.9973 3.5900
1.8588 -2.9973 3.5900
1.8588 2.9973 -3.5900

***

No. 18
! PBE Mg4TlCd, relaxed; values from VASP
! VASP energy ... -9.49 eV/cell
! Calculated density ... 4.41 g cm⁻³
! Calculated formation energy ... 0.028 eV/atom
! Magnetization ... 0.0 Bohr magnetons per cell
&SYSTEM
  ibrav = 0, nat = 6, ntyp = 3
/
ATOMIC_SPECIES
Mg 24.30 Mg.upf
Tl 204.38 Tl.upf
Cd 112.41 Cd.upf
ATOMIC_POSITIONS crystal
Mg 0.0005 0.4994 0.2457
Mg 0.4994 0.0005 0.2457
Mg 0.5006 0.9995 0.7543
Mg 0.9995 0.5006 0.7543
Tl 0.0000 0.0000 0.5000
Cd 0.5000 0.5000 0.0000
CELL_PARAMETERS angstrom
3.3939 -3.3949 0.0000
3.3939 3.3949 0.0000
-0.0116 0.0000 6.7718

***

No. 19
! PBE K12Pd3I5, relaxed; values from VASP
! VASP energy ... -193.84 eV/cell
! Calculated density ... 2.34 g cm⁻³
! Magnetization ... 0.0 Bohr magnetons per cell
! Raw formation energy ... -0.5981 eV per atom
&SYSTEM
  ibrav = 0, nat = 80, ntyp = 3
/
ATOMIC_SPECIES
K 39.10 K.upf
Pd 106.42 Pd.upf
I 126.90 I.upf
ATOMIC_POSITIONS crystal
K 0.0666 0.2344 0.1410
K 0.0666 0.3322 0.9256
K 0.0744 0.6410 0.4066
K 0.0744 0.9334 0.6678
K 0.0934 0.7344 0.6678
K 0.0934 0.8590 0.4256
K 0.1410 0.0666 0.2344
K 0.1410 0.5744 0.9066
K 0.1678 0.2344 0.5934
K 0.1678 0.4334 0.5744
K 0.2344 0.1410 0.0666
K 0.2344 0.5934 0.1678
K 0.2656 0.3322 0.9066
K 0.2656 0.4334 0.3590
K 0.3322 0.9066 0.2656
K 0.3322 0.9256 0.0666
K 0.3590 0.2656 0.4334
K 0.3590 0.5934 0.9256
K 0.4066 0.0744 0.6410
K 0.4066 0.8322 0.7656
K 0.4256 0.0934 0.8590
K 0.4256 0.8322 0.5666
K 0.4334 0.3590 0.2656
K 0.4334 0.5744 0.1678
K 0.5666 0.4256 0.8322
K 0.5666 0.6410 0.7344
K 0.5744 0.1678 0.4334
K 0.5744 0.9066 0.1410
K 0.5934 0.1678 0.2344
K 0.5934 0.9256 0.3590
K 0.6410 0.4066 0.0744
K 0.6410 0.7344 0.5666
K 0.6678 0.0744 0.9334
K 0.6678 0.0934 0.7344
K 0.7344 0.5666 0.6410
K 0.7344 0.6678 0.0934
K 0.7656 0.4066 0.8322
K 0.7656 0.8590 0.9334
K 0.8322 0.5666 0.4256
K 0.8322 0.7656 0.4066
K 0.8590 0.4256 0.0934
K 0.8590 0.9334 0.7656
K 0.9066 0.1410 0.5744
K 0.9066 0.2656 0.3322
K 0.9256 0.0666 0.3322
K 0.9256 0.3590 0.5934
K 0.9334 0.6678 0.0744
K 0.9334 0.7656 0.8590
Pd 0.1250 0.2500 0.3750
Pd 0.1250 0.3750 0.7500
Pd 0.2500 0.3750 0.1250
Pd 0.2500 0.8750 0.6250
Pd 0.3750 0.1250 0.2500
Pd 0.3750 0.7500 0.1250
Pd 0.6250 0.2500 0.8750
Pd 0.6250 0.8750 0.7500
Pd 0.7500 0.1250 0.3750
Pd 0.7500 0.6250 0.8750
Pd 0.8750 0.6250 0.2500
Pd 0.8750 0.7500 0.6250
I 0.0000 0.0000 0.0000
I 0.0000 0.0000 0.5000
I 0.0000 0.5000 0.0000
I 0.0000 0.5000 0.5000
I 0.1250 0.7500 0.8750
I 0.1250 0.8750 0.2500
I 0.2500 0.1250 0.8750
I 0.2500 0.6250 0.3750
I 0.3750 0.2500 0.6250
I 0.3750 0.6250 0.7500
I 0.5000 0.0000 0.0000
I 0.5000 0.0000 0.5000
I 0.5000 0.5000 0.0000
I 0.5000 0.5000 0.5000
I 0.6250 0.3750 0.2500
I 0.6250 0.7500 0.3750
I 0.7500 0.3750 0.6250
I 0.7500 0.8750 0.1250
I 0.8750 0.1250 0.7500
I 0.8750 0.2500 0.1250
CELL_PARAMETERS angstrom
-10.0382 10.0382 10.0382
10.0382 -10.0382 10.0382
10.0382 10.0382 -10.0382

***

No. 20
! PBE CaHgPb, relaxed; values from VASP
! VASP energy ... -14.50 eV/cell
! Calculated density ... 8.82 g cm⁻³
! Calculated formation energy ... -0.412 eV/atom
! Magnetization ... 0.0 Bohr magnetons per cell
&SYSTEM
  ibrav = 0, nat = 6, ntyp = 3
/
ATOMIC_SPECIES
Ca 40.08 Ca.upf
Hg 200.59 Hg.upf
Pb 207.20 Pb.upf
ATOMIC_POSITIONS crystal
Ca 0.3333 0.6667 0.2500
Ca 0.6667 0.3333 0.7500
Hg 0.3333 0.6667 0.7500
Hg 0.6667 0.3333 0.2500
Pb 0.0000 0.0000 0.0000
Pb 0.0000 0.0000 0.5000
CELL_PARAMETERS angstrom
5.4417 0.0000 0.0000
-2.7208 4.7126 0.0000
0.0000 0.0000 6.5760